Compound: Pm3Pr3Ho2
Source: Alexandria
Functional: GGA-PBE
Structure: relaxed

extended XYZ file:
```
16
Lattice="-5.5311 -2.5706 -1.8321 2.8346 -3.2607 -3.9842 1.6838 -10.7437 9.9906" Properties=species:S:1:pos:R:3 pbc="T T T"
Pm -1.8461 -8.6153 -0.7669
Pm 1.2545 -10.6468 7.4399
Pm -2.2672 -5.9282 -3.2657
Pm 0.8334 -7.9597 4.9411
Pm -2.5289 -5.2031 0.2878
Pm 1.5162 -11.3718 3.8864
Pr -2.1457 -7.9044 2.7746
Pr 1.9748 -14.0417 6.3941
Pr -2.9874 -2.5333 -2.2199
Pr 1.1330 -8.6706 1.3996
Pr 0.7345 -5.9752 -1.0924
Pr -1.7472 -10.5998 5.2666
Ho -1.0318 -13.9849 4.2098
Ho 0.4363 -5.2520 2.4396
Ho -1.4490 -11.3230 1.7346
Ho 0.0191 -2.5901 -0.0356
```

Output
E_tot (eV/atom): -4.687
Space group: Pmmn
Energy relative to the elements (kJ/mol of formula units): 23.7
Energy above the most stable polymorph in this dataset (meV/atom): 0
M_tot (μB/cell): 0.0